{
  "formula": "Nd3AgRh",
  "functional": "GGA-PBE",
  "state": "relaxed",
  "volume_a3_per_fu": 137,
  "m_tot_mub_per_cell": 0.0,
  "formation_enthalpy_0k_ev_per_fu": -1.9,
  "total_energy_ev_per_atom": -5.28,
  "lattice_angstrom": [[5.700, -0.190, 2.412], [1.922, 5.369, 2.412], [0.166, 0.113, 8.979]],
  "species": ["Nd", "Nd", "Nd", "Nd", "Nd", "Nd", "Rh", "Rh", "Ag", "Ag"],
  "fractional_positions": [[0.704, 0.704, 0.693], [0.296, 0.296, 0.307], [0.313, 0.313, 0.875], [0.043, 0.043, 0.751], [0.687, 0.687, 0.125], [0.957, 0.957, 0.249], [0.282, 0.718, 0.000], [0.718, 0.282, 0.000], [0.292, 0.708, 0.500], [0.708, 0.292, 0.500]]
}

***

{
  "formula": "PtPbAu2",
  "functional": "GGA-PBE",
  "state": "relaxed",
  "volume_a3_per_fu": 81,
  "m_tot_mub_per_cell": 0.0,
  "formation_enthalpy_0k_ev_per_fu": 0.8,
  "total_energy_ev_per_atom": -3.88,
  "lattice_angstrom": [[-7.853, 4.328, 3.919], [-6.989, 2.574, 6.347], [-5.677, 5.365, 5.895]],
  "species": ["Pt", "Au", "Au", "Pb"],
  "fractional_positions": [[0.750, 0.750, 0.750], [0.492, 0.492, 0.492], [0.008, 0.008, 0.008], [0.250, 0.250, 0.250]]
}

***

{
  "formula": "Te3CF",
  "functional": "GGA-PBE",
  "state": "relaxed",
  "volume_a3_per_fu": 105,
  "m_tot_mub_per_cell": 0.0,
  "e_form_raw_kj_per_mol_fu": 354,
  "total_energy_ev_per_atom": -3.37,
  "lattice_angstrom": [[-4.607, -1.015, 0.100], [-0.055, -0.217, -4.713], [1.019, -4.603, 0.200]],
  "species": ["C", "Te", "Te", "Te", "F"],
  "fractional_positions": [[0.000, 0.000, 0.000], [0.000, 0.000, 0.500], [0.500, 0.000, 0.000], [0.000, 0.500, 0.000], [0.500, 0.500, 0.500]]
}

***

{
  "formula": "Hf3OsRh",
  "functional": "GGA-PBE",
  "state": "relaxed",
  "volume_a3_per_fu": 121,
  "m_tot_mub_per_cell": 0.0,
  "formation_enthalpy_0k_ev_per_fu": 2.6,
  "total_energy_ev_per_atom": -9.16,
  "lattice_angstrom": [[4.943, 0.000, 0.000], [0.000, 4.943, 0.000], [0.000, 0.000, 4.943]],
  "species": ["Hf", "Hf", "Hf", "Os", "Rh"],
  "fractional_positions": [[0.000, 0.000, 0.500], [0.500, 0.000, 0.000], [0.000, 0.500, 0.000], [0.000, 0.000, 0.000], [0.500, 0.500, 0.500]]
}

***

{
  "formula": "Zr4Cd5Hg",
  "functional": "GGA-PBE",
  "state": "relaxed",
  "volume_a3_per_fu": 232,
  "m_tot_mub_per_cell": 0.0,
  "formation_enthalpy_0k_ev_per_fu": 1.0,
  "total_energy_ev_per_atom": -3.81,
  "lattice_angstrom": [[5.159, 0.000, 0.000], [0.000, 9.994, 0.000], [0.000, 0.000, 8.997]],
  "species": ["Cd", "Cd", "Cd", "Cd", "Cd", "Cd", "Cd", "Cd", "Cd", "Cd", "Zr", "Zr", "Zr", "Zr", "Zr", "Zr", "Zr", "Zr", "Hg", "Hg"],
  "fractional_positions": [[0.750, 0.315, 0.275], [0.250, 0.000, 0.500], [0.250, 0.185, 0.225], [0.750, 0.315, 0.725], [0.250, 0.815, 0.775], [0.250, 0.815, 0.225], [0.750, 0.685, 0.275], [0.250, 0.185, 0.775], [0.750, 0.500, 0.000], [0.750, 0.685, 0.725], [0.750, 0.153, 0.000], [0.250, 0.500, 0.808], [0.750, 0.000, 0.308], [0.750, 0.847, 0.000], [0.250, 0.347, 0.500], [0.750, 0.000, 0.692], [0.250, 0.500, 0.192], [0.250, 0.653, 0.500], [0.750, 0.500, 0.500], [0.250, 0.000, 0.000]]
}

***

{
  "formula": "Cs3Mg2I7",
  "functional": "GGA-PBE",
  "state": "relaxed",
  "volume_a3_per_fu": 543,
  "m_tot_mub_per_cell": 0.0,
  "e_form_raw_kj_per_mol_fu": -1480,
  "total_energy_ev_per_atom": -2.66,
  "lattice_angstrom": [[5.838, 0.000, -1.097], [-0.206, 5.834, -1.097], [-0.024, -0.025, 15.950]],
  "species": ["I", "I", "I", "I", "I", "I", "I", "Mg", "Mg", "Cs", "Cs", "Cs"],
  "fractional_positions": [[0.594, 0.094, 0.188], [0.192, 0.192, 0.384], [0.808, 0.808, 0.616], [0.094, 0.594, 0.188], [0.906, 0.406, 0.812], [0.406, 0.906, 0.812], [0.000, 0.000, 0.000], [0.098, 0.098, 0.197], [0.902, 0.902, 0.803], [0.320, 0.320, 0.640], [0.500, 0.500, 0.000], [0.680, 0.680, 0.360]]
}

***

{
  "formula": "TcOF3",
  "functional": "GGA-PBE",
  "state": "relaxed",
  "volume_a3_per_fu": 83,
  "m_tot_mub_per_cell": 0.0,
  "e_form_raw_kj_per_mol_fu": -849,
  "total_energy_ev_per_atom": -5.95,
  "lattice_angstrom": [[-1.511, -4.516, 2.230], [0.449, -3.776, -3.439], [6.084, -1.066, 1.964]],
  "species": ["F", "F", "F", "F", "F", "F", "Tc", "Tc", "O", "O"],
  "fractional_positions": [[0.987, 0.770, 0.790], [0.987, 0.770, 0.314], [0.573, 0.196, 0.814], [0.939, 0.228, 0.552], [0.573, 0.196, 0.290], [0.622, 0.738, 0.052], [0.756, 0.963, 0.552], [0.804, 0.003, 0.052], [0.039, 0.157, 0.052], [0.521, 0.809, 0.552]]
}

***

{
  "formula": "Ac2GeIrPb",
  "functional": "GGA-PBE",
  "state": "relaxed",
  "volume_a3_per_fu": 150,
  "m_tot_mub_per_cell": 0.0,
  "formation_enthalpy_0k_ev_per_fu": -3.1,
  "total_energy_ev_per_atom": -5.70,
  "lattice_angstrom": [[-2.269, -3.902, -0.279], [2.339, -1.918, 7.819], [-8.078, 4.873, -2.466]],
  "species": ["Ac", "Ac", "Ac", "Ac", "Pb", "Pb", "Ge", "Ge", "Ir", "Ir"],
  "fractional_positions": [[0.750, 0.745, 0.666], [0.750, 0.745, 0.078], [0.250, 0.255, 0.334], [0.250, 0.255, 0.922], [0.250, 0.770, 0.385], [0.750, 0.230, 0.615], [0.250, 0.525, 0.762], [0.750, 0.475, 0.238], [0.250, 0.894, 0.947], [0.750, 0.106, 0.053]]
}

***

{
  "formula": "LaMgTa2",
  "functional": "GGA-PBE",
  "state": "relaxed",
  "volume_a3_per_fu": 90,
  "m_tot_mub_per_cell": 0.0,
  "formation_enthalpy_0k_ev_per_fu": 1.1,
  "total_energy_ev_per_atom": -7.28,
  "lattice_angstrom": [[3.030, -0.012, 0.000], [-1.092, 2.826, 0.000], [0.000, 0.000, 10.532]],
  "species": ["Ta", "Ta", "Mg", "La"],
  "fractional_positions": [[0.000, 0.000, 0.016], [0.500, 0.500, 0.217], [0.500, 0.500, 0.781], [0.000, 0.000, 0.486]]
}

***

{
  "formula": "CdBiSbTe2",
  "functional": "GGA-PBE",
  "state": "relaxed",
  "volume_a3_per_fu": 170,
  "m_tot_mub_per_cell": 0.0,
  "e_form_raw_kj_per_mol_fu": 260,
  "total_energy_ev_per_atom": -2.50,
  "lattice_angstrom": [[5.552, 0.000, 0.000], [0.000, 5.552, 0.000], [0.000, 0.000, 5.510]],
  "species": ["Te", "Te", "Cd", "Sb", "Bi"],
  "fractional_positions": [[0.500, 0.000, 0.000], [0.000, 0.500, 0.000], [0.000, 0.000, 0.000], [0.000, 0.000, 0.500], [0.500, 0.500, 0.500]]
}

***

{
  "formula": "LaCoTc3",
  "functional": "GGA-PBE",
  "state": "relaxed",
  "volume_a3_per_fu": 95,
  "m_tot_mub_per_cell": 0.0,
  "formation_enthalpy_0k_ev_per_fu": 4.1,
  "total_energy_ev_per_atom": -7.80,
  "lattice_angstrom": [[-2.695, -2.479, 2.720], [2.536, -3.693, -0.853], [2.666, 1.008, 3.560]],
  "species": ["Tc", "Tc", "Tc", "La", "Co"],
  "fractional_positions": [[0.000, 0.000, 0.500], [0.000, 0.500, 0.000], [0.500, 0.000, 0.000], [0.500, 0.500, 0.500], [0.000, 0.000, 0.000]]
}

***

{
  "formula": "Er4GaI5",
  "functional": "GGA-PBE",
  "state": "relaxed",
  "volume_a3_per_fu": 341,
  "m_tot_mub_per_cell": 0.0,
  "e_form_raw_kj_per_mol_fu": -1006,
  "total_energy_ev_per_atom": -3.95,
  "lattice_angstrom": [[4.198, 0.000, 0.000], [0.000, 8.712, -0.387], [-2.099, -1.627, 9.387]],
  "species": ["Er", "Er", "Er", "Er", "I", "I", "I", "I", "I", "Ga"],
  "fractional_positions": [[0.000, 0.212, 0.000], [0.000, 0.788, 0.000], [0.646, 0.074, 0.292], [0.354, 0.926, 0.708], [0.174, 0.831, 0.347], [0.167, 0.337, 0.333], [0.826, 0.169, 0.653], [0.833, 0.663, 0.667], [0.500, 0.500, 0.000], [0.500, 0.000, 0.000]]
}